# AcEr6Tm8 | Alexandria | GGA-PBE | relaxed
data_AcEr6Tm8
_cell_length_a 9.4577
_cell_length_b 9.4577
_cell_length_c 6.3164
_cell_angle_alpha 90.00
_cell_angle_beta 90.00
_cell_angle_gamma 120.00
_space_group_name_H-M_alt 'P -3'
_space_group_IT_number 147
_space_group_name_Hall '-P 3'
loop_
_atom_site_label
_atom_site_type_symbol
_atom_site_fract_x
_atom_site_fract_y
_atom_site_fract_z
Ac1 Ac 0.0000 0.0000 0.0000
Er1 Er 0.1131 0.6826 0.9166
Tm1 Tm 0.0242 0.3408 0.5832
Tm2 Tm 0.3333 0.6667 0.3502
# E_form (meV/atom): 219
# Magnetization (Bohr magnetons per cell): 0.00
# Relative energy among the computed polymorphs (meV/atom): 45.8
# Density (g/cm3): 8.76

# La4ZrCo | Alexandria | GGA-PBE | relaxed
data_La4ZrCo
_cell_length_a 8.9806
_cell_length_b 8.9806
_cell_length_c 8.9806
_cell_angle_alpha 90.00
_cell_angle_beta 90.00
_cell_angle_gamma 90.00
_space_group_name_H-M_alt 'F -4 3 m'
_space_group_IT_number 216
_space_group_name_Hall 'F -4 2 3'
loop_
_atom_site_label
_atom_site_type_symbol
_atom_site_fract_x
_atom_site_fract_y
_atom_site_fract_z
La1 La 0.1254 0.1254 0.1254
Zr1 Zr 0.2500 0.2500 0.7500
Co1 Co 0.0000 0.0000 0.5000
# E_form (meV/atom): 836
# Magnetization (Bohr magnetons per cell): 10.65
# Density (g/cm3): 6.47

# Hf2ScPt2 | Alexandria | GGA-PBE | relaxed
data_Hf2ScPt2
_cell_length_a 7.8424
_cell_length_b 7.8424
_cell_length_c 3.1801
_cell_angle_alpha 90.00
_cell_angle_beta 90.00
_cell_angle_gamma 90.00
_space_group_name_H-M_alt 'P 4/m b m'
_space_group_IT_number 127
_space_group_name_Hall '-P 4 2ab'
loop_
_atom_site_label
_atom_site_type_symbol
_atom_site_fract_x
_atom_site_fract_y
_atom_site_fract_z
Hf1 Hf 0.1530 0.3470 0.0000
Sc1 Sc 0.0000 0.0000 0.0000
Pt1 Pt 0.1444 0.6444 0.5000
# E_form (meV/atom): -754
# Magnetization (Bohr magnetons per cell): 1.37
# Relative energy among the computed polymorphs (meV/atom): 191.1
# Density (g/cm3): 13.45

# Ce2MgOs | Alexandria | GGA-PBE | relaxed
data_Ce2MgOs
_cell_length_a 4.0570
_cell_length_b 4.0570
_cell_length_c 24.3933
_cell_angle_alpha 90.00
_cell_angle_beta 90.00
_cell_angle_gamma 120.00
_space_group_name_H-M_alt 'R 3 m'
_space_group_IT_number 160
_space_group_name_Hall 'R 3 -2"'
loop_
_atom_site_label
_atom_site_type_symbol
_atom_site_fract_x
_atom_site_fract_y
_atom_site_fract_z
Ce1 Ce 0.0000 0.0000 0.0000
Ce2 Ce 0.0000 0.0000 0.2120
Mg1 Mg 0.0000 0.0000 0.4400
Os1 Os 0.0000 0.0000 0.6051
# E_form (meV/atom): 25
# Magnetization (Bohr magnetons per cell): 2.75
# Density (g/cm3): 7.09

# Pm4Pr5Al | Alexandria | GGA-PBE | relaxed
data_Pm4Pr5Al
_cell_length_a 4.2445
_cell_length_b 4.2445
_cell_length_c 18.4592
_cell_angle_alpha 90.00
_cell_angle_beta 90.00
_cell_angle_gamma 90.00
_space_group_name_H-M_alt 'P 4/m m m'
_space_group_IT_number 123
_space_group_name_Hall '-P 4 2'
loop_
_atom_site_label
_atom_site_type_symbol
_atom_site_fract_x
_atom_site_fract_y
_atom_site_fract_z
Pm1 Pm 0.0000 0.0000 0.1029
Pm2 Pm 0.0000 0.0000 0.3091
Pr1 Pr 0.5000 0.5000 0.0000
Pr2 Pr 0.5000 0.5000 0.2061
Pr3 Pr 0.5000 0.5000 0.4149
Al1 Al 0.0000 0.0000 0.5000
# E_form (meV/atom): 39
# Magnetization (Bohr magnetons per cell): 0.00
# Density (g/cm3): 6.55

# CeSmTm2 | Alexandria | GGA-PBE | relaxed
data_CeSmTm2
_cell_length_a 5.0168
_cell_length_b 5.0168
_cell_length_c 4.9135
_cell_angle_alpha 90.00
_cell_angle_beta 90.00
_cell_angle_gamma 90.00
_space_group_name_H-M_alt 'P 4/m m m'
_space_group_IT_number 123
_space_group_name_Hall '-P 4 2'
loop_
_atom_site_label
_atom_site_type_symbol
_atom_site_fract_x
_atom_site_fract_y
_atom_site_fract_z
Ce1 Ce 0.0000 0.0000 0.0000
Sm1 Sm 0.5000 0.5000 0.0000
Tm1 Tm 0.0000 0.5000 0.5000
# E_form (meV/atom): 69
# Magnetization (Bohr magnetons per cell): 0.56
# Relative energy among the computed polymorphs (meV/atom): 20.1
# Density (g/cm3): 8.44

# In2WSe | Alexandria | GGA-PBE | relaxed
data_In2WSe
_cell_length_a 3.6907
_cell_length_b 4.8071
_cell_length_c 9.2419
_cell_angle_alpha 90.00
_cell_angle_beta 90.00
_cell_angle_gamma 90.00
_space_group_name_H-M_alt 'C m m m'
_space_group_IT_number 65
_space_group_name_Hall '-C 2 2'
loop_
_atom_site_label
_atom_site_type_symbol
_atom_site_fract_x
_atom_site_fract_y
_atom_site_fract_z
In1 In 0.0000 0.0000 0.2364
W1 W 0.0000 0.5000 0.0000
Se1 Se 0.0000 0.5000 0.5000
# Magnetization (Bohr magnetons per cell): 0.00
# Formation energy (no corrections) (eV/atom): 0.581
# Density (g/cm3): 9.97

# BBrO2 | Alexandria | GGA-PBE | relaxed
data_BBrO2
_cell_length_a 5.6053
_cell_length_b 5.6053
_cell_length_c 5.6053
_cell_angle_alpha 90.00
_cell_angle_beta 90.00
_cell_angle_gamma 90.00
_space_group_name_H-M_alt 'F m -3 m'
_space_group_IT_number 225
_space_group_name_Hall '-F 4 2 3'
loop_
_atom_site_label
_atom_site_type_symbol
_atom_site_fract_x
_atom_site_fract_y
_atom_site_fract_z
B1 B 0.0000 0.0000 0.0000
Br1 Br 0.0000 0.0000 0.5000
O1 O 0.2500 0.2500 0.2500
# Magnetization (Bohr magnetons per cell): 0.00
# Relative energy among the computed polymorphs (meV/atom): 2567.4
# Formation energy (no corrections) (eV/atom): 1.819
# Density (g/cm3): 4.63

# OsRhS2 | Alexandria | GGA-PBE | relaxed
data_OsRhS2
_cell_length_a 3.1604
_cell_length_b 3.1604
_cell_length_c 22.6708
_cell_angle_alpha 90.00
_cell_angle_beta 90.00
_cell_angle_gamma 120.00
_space_group_name_H-M_alt 'R -3 m'
_space_group_IT_number 166
_space_group_name_Hall '-R 3 2"'
loop_
_atom_site_label
_atom_site_type_symbol
_atom_site_fract_x
_atom_site_fract_y
_atom_site_fract_z
Os1 Os 0.0000 0.0000 0.0000
Rh1 Rh 0.0000 0.0000 0.5000
S1 S 0.0000 0.0000 0.4013
# Magnetization (Bohr magnetons per cell): 0.00
# Relative energy among the computed polymorphs (meV/atom): 152.9
# Formation energy (no corrections) (eV/atom): 0.152
# Density (g/cm3): 9.08

# TlCd4In6 | Alexandria | GGA-PBE | relaxed
data_TlCd4In6
_cell_length_a 5.8997
_cell_length_b 7.5951
_cell_length_c 7.6955
_cell_angle_alpha 77.06
_cell_angle_beta 68.36
_cell_angle_gamma 67.81
_space_group_name_H-M_alt 'P 1'
_space_group_IT_number 1
_space_group_name_Hall 'P 1'
loop_
_atom_site_label
_atom_site_type_symbol
_atom_site_fract_x
_atom_site_fract_y
_atom_site_fract_z
Tl1 Tl 0.0000 0.0000 0.0000
Cd1 Cd 0.4720 0.1713 0.3288
Cd2 Cd 0.5085 0.8754 0.1040
Cd3 Cd 0.9510 0.3252 0.6673
Cd4 Cd 0.9939 0.6591 0.8167
In1 In 0.2396 0.5932 0.3986
In2 In 0.4595 0.1942 0.7684
In3 In 0.4600 0.5178 0.9751
In4 In 0.5695 0.7601 0.5565
In5 In 0.8839 0.4449 0.2340
In6 In 0.9811 0.0206 0.4513
# E_form (meV/atom): 50
# Magnetization (Bohr magnetons per cell): 0.00
# Density (g/cm3): 7.55

# Tb2AgPd3 | Alexandria | GGA-PBE | relaxed
data_Tb2AgPd3
_cell_length_a 7.3914
_cell_length_b 3.7922
_cell_length_c 17.5220
_cell_angle_alpha 90.00
_cell_angle_beta 90.00
_cell_angle_gamma 90.00
_space_group_name_H-M_alt 'P n m a'
_space_group_IT_number 62
_space_group_name_Hall '-P 2ac 2n'
loop_
_atom_site_label
_atom_site_type_symbol
_atom_site_fract_x
_atom_site_fract_y
_atom_site_fract_z
Tb1 Tb 0.0999 0.2500 0.2079
Tb2 Tb 0.1586 0.2500 0.4272
Ag1 Ag 0.0090 0.7500 0.0627
Pd1 Pd 0.0870 0.2500 0.6578
Pd2 Pd 0.2115 0.2500 0.8080
Pd3 Pd 0.2202 0.7500 0.5510
# E_form (meV/atom): -725
# Magnetization (Bohr magnetons per cell): 0.00
# Relative energy among the computed polymorphs (meV/atom): 0.0
# Density (g/cm3): 10.08

# Nd3Ga3Cu8 | Alexandria | GGA-PBE | relaxed
data_Nd3Ga3Cu8
_cell_length_a 4.2784
_cell_length_b 9.0928
_cell_length_c 12.5869
_cell_angle_alpha 90.00
_cell_angle_beta 90.00
_cell_angle_gamma 90.00
_space_group_name_H-M_alt 'I m m m'
_space_group_IT_number 71
_space_group_name_Hall '-I 2 2'
loop_
_atom_site_label
_atom_site_type_symbol
_atom_site_fract_x
_atom_site_fract_y
_atom_site_fract_z
Nd1 Nd 0.0000 0.0000 0.0000
Nd2 Nd 0.0000 0.0000 0.3014
Ga1 Ga 0.0000 0.2180 0.5000
Ga2 Ga 0.0000 0.5000 0.0000
Cu1 Cu 0.0000 0.2820 0.1290
Cu2 Cu 0.0000 0.3566 0.3304
# E_form (meV/atom): -267
# Magnetization (Bohr magnetons per cell): 0.00
# Density (g/cm3): 7.80

Question: Which of these has the highest magnetization?
Answer: La4ZrCo

Question: The lowest density belongs to which entry?
Answer: BBrO2

Question: The lowest density belongs to which entry?
Answer: BBrO2

Question: Among the records above, which one has the lowest density?
Answer: BBrO2